# 1
The following is a PBE calculation of SbWCl after structural relaxation, from Alexandria.

Results
Energy above the lowest structure with this stoichiometry in eV/f.u.: 0.59
Density of states at the Fermi level in states/eV/f.u.: 2.0
SG: I4mm
Calculated total energy in eV per atom: -5.9704
Energy relative to the elements, uncorrected in eV/atom: 0.3370

abc: 7.5939 7.5939 7.5939
angles: 156.22 156.22 33.87
Closest atoms and distances in Å follow each position.
Atoms (fractional coordinates):
W1 0.6597 0.6597 0.0000  4 Cl 2.69, 4 Sb 2.87
Cl1 0.0544 0.0544 0.0000  4 W 2.69
Sb1 0.2860 0.2860 0.0000  4 W 2.87, 4 Sb 3.13

***

# 2
The following is a PBE calculation of SbW3Cl after structural relaxation, from Alexandria.

Results
Energy above the lowest structure with this stoichiometry in eV/f.u.: 0.00
Density of states at the Fermi level in states/eV/f.u.: 6.2
SG: Pm-3m
Calculated total energy in eV per atom: -7.3053
Energy relative to the elements, uncorrected in eV/atom: 1.6604

abc: 4.4906 4.4906 4.4906
angles: 90.00 90.00 90.00
Closest atoms and distances in Å follow each position.
Atoms (fractional coordinates):
Cl1 0.0000 0.0000 0.0000  6 W 2.25
W1 0.5000 0.0000 0.0000  2 Cl 2.25
W2 0.0000 0.0000 0.5000  2 Cl 2.25
W3 0.0000 0.5000 0.0000  2 Cl 2.25
Sb1 0.5000 0.5000 0.5000  12 W 3.18

***

# 3
The following is a PBE calculation of SbWCl after structural relaxation, from Alexandria.

Results
Energy above the lowest structure with this stoichiometry in eV/f.u.: 1.79
Density of states at the Fermi level in states/eV/f.u.: 3.1
SG: Imm2
Calculated total energy in eV per atom: -5.5711
Energy relative to the elements, uncorrected in eV/atom: 0.7363

abc: 5.0578 5.0578 5.0578
angles: 145.90 122.96 68.16
Closest atoms and distances in Å follow each position.
Atoms (fractional coordinates):
W1 0.6937 0.6937 0.0000  1 Cl 2.37
Cl1 0.9762 0.9762 0.0000  1 W 2.37
Sb1 0.3301 0.3301 0.0000  5 Cl 2.96-3.09, 2 Sb 2.97, 5 W 3.05-3.06

***

# 4
The following is a PBE calculation of SbWCl4 after structural relaxation, from Alexandria.

Results
Density of states at the Fermi level in states/eV/f.u.: 7.2
SG: F-43m
Calculated total energy in eV per atom: -2.8046
Energy relative to the elements, uncorrected in eV/atom: 1.2724

abc: 5.7337 5.7337 5.7337
angles: 60.00 60.00 60.00
Closest atoms and distances in Å follow each position.
Atoms (fractional coordinates):
Cl1 0.3744 0.3744 0.8768  6 Cl 2.85-2.88
Cl2 0.3744 0.8768 0.3744  6 Cl 2.85-2.88
Cl3 0.3744 0.3744 0.3744  6 Cl 2.85-2.88
Cl4 0.8768 0.3744 0.3744  6 Cl 2.85-2.88
W1 0.0000 0.0000 0.0000  12 Cl 3.36, 4 Sb 3.51
Sb1 0.7500 0.7500 0.7500  12 Cl 3.36, 4 W 3.51

***

# 5
The following is a PBE calculation of Sb2WCl2 after structural relaxation, from Alexandria.

Results
Energy above the lowest structure with this stoichiometry in eV/f.u.: 0.00
Density of states at the Fermi level in states/eV/f.u.: 3.1
SG: I4/mmm
Calculated total energy in eV per atom: -4.4797
Energy relative to the elements, uncorrected in eV/atom: 0.4986

abc: 3.5552 3.5552 10.3061
angles: 80.07 80.07 90.00
Closest atoms and distances in Å follow each position.
Atoms (fractional coordinates):
Cl1 0.7500 0.2500 0.5000  4 Cl 2.51
Cl2 0.2500 0.7500 0.5000  4 Cl 2.51
Sb1 0.4243 0.4243 0.1515  4 W 2.93, 1 Sb 3.03
Sb2 0.5757 0.5757 0.8485  4 W 2.93, 1 Sb 3.03
W1 0.0000 0.0000 0.0000  8 Sb 2.93

***

# 6
The following is a PBE calculation of SbWCl after structural relaxation, from Alexandria.

Results
Energy above the lowest structure with this stoichiometry in eV/f.u.: 1.46
Density of states at the Fermi level in states/eV/f.u.: 0.2
SG: F-43m
Calculated total energy in eV per atom: -5.6812
Energy relative to the elements, uncorrected in eV/atom: 0.6262

abc: 4.6279 4.6279 4.6279
angles: 60.00 60.00 60.00
Closest atoms and distances in Å follow each position.
Atoms (fractional coordinates):
Cl1 0.0000 0.0000 0.0000  4 W 2.83
Sb1 0.5000 0.5000 0.5000  4 W 2.83
W1 0.7500 0.7500 0.7500  4 Cl 2.83, 4 Sb 2.83

***

# 7
The following is a PBE calculation of SbWCl after structural relaxation, from Alexandria.

Results
Energy above the lowest structure with this stoichiometry in eV/f.u.: 1.56
Density of states at the Fermi level in states/eV/f.u.: 2.6
SG: P3m1
Calculated total energy in eV per atom: -5.6467
Energy relative to the elements, uncorrected in eV/atom: 0.6607

abc: 4.6971 4.6971 3.0186
angles: 90.00 90.00 120.00
Closest atoms and distances in Å follow each position.
Atoms (fractional coordinates):
W1 0.3333 0.6667 0.7340  3 Cl 2.73, 3 Sb 2.86, 2 W 3.02
Sb1 0.6667 0.3333 0.4340  3 W 2.86, 3 Cl 2.97, 2 Sb 3.02
Cl1 0.0000 0.0000 0.8319  3 W 2.73, 3 Sb 2.97, 2 Cl 3.02

***

# 8
The following is a PBE calculation of SbWCl after structural relaxation, from Alexandria.

Results
Energy above the lowest structure with this stoichiometry in eV/f.u.: 3.48
Density of states at the Fermi level in states/eV/f.u.: 2.1
SG: F-43m
Calculated total energy in eV per atom: -5.0059
Energy relative to the elements, uncorrected in eV/atom: 1.3015

abc: 4.7510 4.7510 4.7510
angles: 60.00 60.00 60.00
Closest atoms and distances in Å follow each position.
Atoms (fractional coordinates):
Cl1 0.5000 0.5000 0.5000  4 Sb 2.91
W1 0.0000 0.0000 0.0000  4 Sb 2.91
Sb1 0.7500 0.7500 0.7500  4 Cl 2.91, 4 W 2.91

***

# 9
The following is a PBE calculation of SbWCl after structural relaxation, from Alexandria.

Results
Energy above the lowest structure with this stoichiometry in eV/f.u.: 0.56
Density of states at the Fermi level in states/eV/f.u.: 2.2
SG: Fmm2
Calculated total energy in eV per atom: -5.9802
Energy relative to the elements, uncorrected in eV/atom: 0.3272

abc: 8.8949 8.5461 3.2371
angles: 85.44 73.29 21.27
Closest atoms and distances in Å follow each position.
Atoms (fractional coordinates):
W1 0.6560 0.6560 0.3440  2 Cl 2.42
Sb1 0.3015 0.3015 0.6985  2 W 2.86, 2 Sb 2.96
Cl1 0.0424 0.0424 0.9576  2 W 2.42

***

# 10
The following is a PBE calculation of YSbCl2 after structural relaxation, from Alexandria.

Results
Energy above the lowest structure with this stoichiometry in eV/f.u.: 0.00
Density of states at the Fermi level in states/eV/f.u.: 1.3
SG: Cm
Calculated total energy in eV per atom: -4.8923
Energy relative to the elements, uncorrected in eV/atom: -1.3223

abc: 7.0788 7.0788 7.0191
angles: 54.33 54.33 28.55
Closest atoms and distances in Å follow each position.
Atoms (fractional coordinates):
Sb1 0.4399 0.4399 0.4937  3 Y 3.26-3.44, 2 Sb 3.49
Cl1 0.2521 0.2521 0.1787  2 Y 2.65
Cl2 0.0901 0.0901 0.8878  2 Y 2.65
Y1 0.7179 0.7179 0.9398  4 Cl 2.65

***

# 11
The following is a PBE calculation of YSbCl3 after structural relaxation, from Alexandria.

Results
Energy above the lowest structure with this stoichiometry in eV/f.u.: 0.00
Density of states at the Fermi level in states/eV/f.u.: 0.0
SG: Pm-3m
Calculated total energy in eV per atom: -4.3917
Energy relative to the elements, uncorrected in eV/atom: -1.1664

abc: 5.3924 5.3924 5.3924
angles: 90.00 90.00 90.00
Closest atoms and distances in Å follow each position.
Atoms (fractional coordinates):
Cl1 0.5000 0.0000 0.0000  2 Y 2.70
Cl2 0.0000 0.0000 0.5000  2 Y 2.70
Cl3 0.0000 0.5000 0.0000  2 Y 2.70
Y1 0.0000 0.0000 0.0000  6 Cl 2.70
Sb1 0.5000 0.5000 0.5000  12 Cl 3.81

***

# 12
The following is a PBE calculation of YSbCl2 after structural relaxation, from Alexandria.

Results
Energy above the lowest structure with this stoichiometry in eV/f.u.: 1.76
Density of states at the Fermi level in states/eV/f.u.: 2.2
SG: I4/mmm
Calculated total energy in eV per atom: -4.4513
Energy relative to the elements, uncorrected in eV/atom: -0.8814

abc: 5.7126 5.7126 5.7126
angles: 133.06 133.06 68.56
Closest atoms and distances in Å follow each position.
Atoms (fractional coordinates):
Y1 0.7500 0.2500 0.5000  4 Sb 3.22, 8 Cl 3.28
Sb1 0.2500 0.7500 0.5000  4 Y 3.22, 8 Cl 3.28
Cl1 0.5000 0.5000 0.0000  4 Cl 3.22, 4 Y 3.28, 4 Sb 3.28
Cl2 0.0000 0.0000 0.0000  4 Cl 3.22, 4 Sb 3.28, 4 Y 3.28

***

# 13
The following is a PBE calculation of YSbCl2 after structural relaxation, from Alexandria.

Results
Energy above the lowest structure with this stoichiometry in eV/f.u.: 0.26
Density of states at the Fermi level in states/eV/f.u.: 2.1
SG: C2/m
Calculated total energy in eV per atom: -4.8267
Energy relative to the elements, uncorrected in eV/atom: -1.2567

abc: 7.4286 7.4286 5.9401
angles: 66.34 66.34 26.60
Closest atoms and distances in Å follow each position.
Atoms (fractional coordinates):
Sb1 0.2500 0.2500 0.2500  2 Sb 3.42, 4 Y 3.43, 4 Cl 3.61-3.62
Cl1 0.4058 0.4058 0.5946  2 Y 2.67
Cl2 0.0942 0.0942 0.9054  2 Y 2.67
Y1 0.7500 0.7500 0.7500  4 Cl 2.67

***

# 14
The following is a PBE calculation of YSbCl after structural relaxation, from Alexandria.

Results
Energy above the lowest structure with this stoichiometry in eV/f.u.: 0.00
Density of states at the Fermi level in states/eV/f.u.: 1.0
SG: P3m1
Calculated total energy in eV per atom: -5.3060
Energy relative to the elements, uncorrected in eV/atom: -1.1616

abc: 3.8624 3.8624 7.6560
angles: 90.00 90.00 120.00
Closest atoms and distances in Å follow each position.
Atoms (fractional coordinates):
Cl1 0.0000 0.0000 0.9025  3 Y 2.76
Sb1 0.6667 0.3333 0.4072  3 Y 3.11
Y1 0.3333 0.6667 0.6903  3 Cl 2.76

***

# 15
The following is a PBE calculation of YSbCl2 after structural relaxation, from Alexandria.

Results
Energy above the lowest structure with this stoichiometry in eV/f.u.: 0.52
Density of states at the Fermi level in states/eV/f.u.: 3.1
SG: P4/mmm
Calculated total energy in eV per atom: -4.7627
Energy relative to the elements, uncorrected in eV/atom: -1.1927

abc: 3.2848 3.2848 11.2526
angles: 90.00 90.00 90.00
Closest atoms and distances in Å follow each position.
Atoms (fractional coordinates):
Sb1 0.5000 0.5000 0.2500  4 Sb 3.28
Cl1 0.0000 0.0000 0.8920  4 Y 2.82
Cl2 0.0000 0.0000 0.6080  4 Y 2.82
Y1 0.5000 0.5000 0.7500  8 Cl 2.82